(1)
Here is CoRhSe3 after structural relaxation from Alexandria. Energies are from PBE-GGA.

```
CoRhSe3
1.0
5.8091 -5.2100 0.0000
5.8091 5.2100 0.0000
-0.9512 0.0000 6.5215
Co Rh Se
4 4 12
direct
0.1683 0.3137 0.0358
0.3137 0.1683 0.5358
0.6863 0.8317 0.4642
0.8317 0.6863 0.9642
0.2435 0.7565 0.2500
0.3987 0.6013 0.7500
0.6013 0.3987 0.2500
0.7565 0.2435 0.7500
0.0778 0.1687 0.7265
0.1320 0.6009 0.9226
0.1687 0.0778 0.2265
0.3099 0.4511 0.3863
0.3991 0.8680 0.5774
0.4511 0.3099 0.8863
0.5489 0.6901 0.1137
0.6009 0.1320 0.4226
0.6901 0.5489 0.6137
0.8313 0.9222 0.7735
0.8680 0.3991 0.0774
0.9222 0.8313 0.2735
```

## Properties
E_form (uncorrected)   -165 meV per atom
Final energy   -102.94 eV/cell
Total moment   0.00 μB/f.u.
Crystal system   monoclinic
Distance to the lowest polymorph of the same formula   0.000 eV per atom

***

(2)
Here is Co3RhSe8 after structural relaxation from Alexandria. Energies are from PBE-GGA.

```
Co3RhSe8
1.0
5.1870 -3.5389 0.0000
5.1870 3.5389 0.0000
-5.1358 0.0000 6.1441
Co Rh Se
3 1 8
direct
0.0000 0.0000 0.0000
0.0000 0.5000 0.5000
0.5000 0.0000 0.5000
0.5000 0.5000 0.0000
0.0305 0.5500 0.8283
0.0489 0.0489 0.3351
0.4491 0.4491 0.6520
0.4500 0.9695 0.1717
0.5500 0.0305 0.8283
0.5509 0.5509 0.3480
0.9511 0.9511 0.6649
0.9695 0.4500 0.1717
```

## Properties
E_form (uncorrected)   -296 meV per atom
Final energy   -60.10 eV/cell
Total moment   0.00 μB/f.u.
Crystal system   monoclinic

***

(3)
Here is Co2RhSe after structural relaxation from Alexandria. Energies are from PBE-GGA.

```
Co2RhSe
1.0
-1.8707 1.8707 3.8029
1.8707 -1.8707 3.8029
1.8707 1.8707 -3.8029
Co Rh Se
2 1 1
direct
0.2500 0.7500 0.5000
0.7500 0.2500 0.5000
0.0000 0.0000 0.0000
0.5000 0.5000 0.0000
```

## Properties
E_form (uncorrected)   249 meV per atom
Final energy   -24.05 eV/cell
Total moment   3.89 μB/f.u.
Crystal system   tetragonal

***

(4)
Here is Co2RhSe after structural relaxation from Alexandria. Energies are from PBE-GGA.

```
Co2RhSe
1.0
-1.8782 1.8782 3.7235
1.8782 -1.8782 3.7235
1.8782 1.8782 -3.7235
Co Rh Se
2 1 1
direct
0.0000 0.0000 0.0000
0.7500 0.2500 0.5000
0.2500 0.7500 0.5000
0.5000 0.5000 0.0000
```

## Properties
E_form (uncorrected)   220 meV per atom
Final energy   -24.17 eV/cell
Total moment   3.36 μB/f.u.
Crystal system   tetragonal

***

(5)
Here is Co2RhSe after structural relaxation from Alexandria. Energies are from PBE-GGA.

```
Co2RhSe
1.0
2.5700 -3.5247 0.0000
2.5700 3.5247 0.0000
0.0000 0.0000 2.8536
Co Rh Se
2 1 1
direct
0.0000 0.5000 0.0000
0.5000 0.0000 0.0000
0.0000 0.0000 0.5000
0.5000 0.5000 0.5000
```

## Properties
E_form (uncorrected)   255 meV per atom
Final energy   -24.03 eV/cell
Total moment   1.13 μB/f.u.
Crystal system   orthorhombic

***

(6)
Here is Co2RhSe after structural relaxation from Alexandria. Energies are from PBE-GGA.

```
Co2RhSe
1.0
3.7953 0.0000 0.0000
0.0000 3.7953 0.0000
0.0000 0.0000 3.5478
Co Rh Se
2 1 1
direct
0.0000 0.5000 0.0000
0.5000 0.0000 0.0000
0.0000 0.0000 0.5000
0.5000 0.5000 0.5000
```

## Properties
E_form (uncorrected)   250 meV per atom
Final energy   -24.05 eV/cell
Total moment   1.42 μB/f.u.
Crystal system   tetragonal